# 1
Ga2IrPd2, optimized geometry, DFT PBE; magnetization = 0.00 μB per atom; total DFT energy (no corrections) = -5.3685 eV/atom; excess energy over the best structure of this formula in the dataset = 137.1 meV/atom
1.0
-6.818 -1.220 -1.142
-0.589 -2.732 6.440
-0.681 2.765 1.111
Ir Ga Pd
2 4 4
direct
0.000 0.000 0.000
0.500 0.500 0.000
0.348 0.848 0.000
0.848 0.652 0.000
0.652 0.152 0.000
0.152 0.348 0.000
0.148 0.648 0.500
0.648 0.852 0.500
0.852 0.352 0.500
0.352 0.148 0.500

# 2
Er2InO, optimized geometry, DFT PBE; magnetization = 0.00 μB per atom; ΔE_f (raw) = -1.651 eV per atom; total DFT energy (no corrections) = -5.8564 eV/atom; excess energy over the best structure of this formula in the dataset = 0.0 meV/atom
1.0
-4.461 -0.552 -0.502
0.593 -0.729 -4.424
1.561 -8.044 2.373
Er In O
4 2 2
direct
0.805 0.805 0.828
0.748 0.252 0.500
0.195 0.195 0.172
0.252 0.748 0.500
0.315 0.315 0.815
0.685 0.685 0.185
0.231 0.231 0.436
0.769 0.769 0.564